No. 1
# Y2CdAu

A relaxed Y2CdAu crystal (GGA-PBE, the Alexandria database).

Output
symmetry = No. 160
ρ = 7.3 g cm⁻³
E_form = -0.238 eV per atom
V = 110.94 Å³ per cell
raw total energy = -4.518 eV/atom

Geometry as POSCAR:
```
Y2CdAu
1.0
-7.349 4.910 -3.766
-9.066 2.971 -1.127
-7.376 6.150 -0.282
Au Cd Y
1 1 2
Direct
0.497 0.497 0.497 Au
0.761 0.761 0.761 Cd
0.006 0.006 0.006 Y
0.236 0.236 0.236 Y
```

---

No. 2
# YCd3Au

A relaxed YCd3Au crystal (GGA-PBE, the Alexandria database).

Output
offset from the most stable computed form = 0.000 eV/atom
symmetry = No. 62
ρ = 8.8 g cm⁻³
E_form = -0.327 eV per atom
V = 471.23 Å³ per cell
raw total energy = -2.824 eV/atom

Geometry as POSCAR:
```
YCd3Au
1.0
3.973 0.000 0.000
0.000 9.471 0.000
0.000 0.000 12.524
Y Cd Au
4 12 4
Direct
0.750 0.822 0.995 Y
0.250 0.678 0.495 Y
0.750 0.322 0.505 Y
0.250 0.178 0.005 Y
0.250 0.564 0.091 Cd
0.750 0.436 0.909 Cd
0.250 0.064 0.409 Cd
0.750 0.936 0.591 Cd
0.250 0.429 0.704 Cd
0.750 0.071 0.204 Cd
0.250 0.929 0.796 Cd
0.750 0.665 0.701 Cd
0.250 0.335 0.299 Cd
0.750 0.165 0.799 Cd
0.750 0.571 0.296 Cd
0.250 0.835 0.201 Cd
0.250 0.151 0.629 Au
0.250 0.651 0.871 Au
0.750 0.349 0.129 Au
0.750 0.849 0.371 Au
```

---

No. 3
# Y2Cd3Au

A relaxed Y2Cd3Au crystal (GGA-PBE, the Alexandria database).

Output
symmetry = No. 25
ρ = 8.2 g cm⁻³
E_form = -0.459 eV per atom
V = 143.44 Å³ per cell
raw total energy = -3.618 eV/atom

Geometry as POSCAR:
```
Y2Cd3Au
1.0
-3.445 0.393 0.039
-0.373 -3.592 3.296
0.715 5.660 6.249
Y Cd Au
2 3 1
Direct
0.000 0.500 0.023 Y
0.000 0.000 0.482 Y
0.500 0.000 0.830 Cd
0.500 0.000 0.164 Cd
0.500 0.500 0.667 Cd
0.500 0.500 0.335 Au
```

---

No. 4
# Y2Cd3Au4

A relaxed Y2Cd3Au4 crystal (GGA-PBE, the Alexandria database).

Output
symmetry = No. 12
ρ = 11.1 g cm⁻³
E_form = -0.561 eV per atom
V = 194.27 Å³ per cell
raw total energy = -3.759 eV/atom

Geometry as POSCAR:
```
Y2Cd3Au4
1.0
4.851 0.000 0.002
2.425 4.213 0.175
0.000 -0.329 9.491
Y Cd Au
2 3 4
Direct
0.333 0.334 0.781 Y
0.667 0.666 0.219 Y
0.334 0.331 0.423 Cd
0.000 0.000 0.000 Cd
0.666 0.669 0.577 Cd
0.666 0.667 0.903 Au
0.001 0.997 0.349 Au
0.999 0.003 0.651 Au
0.334 0.333 0.097 Au
```

---

No. 5
# Y4Cd3Au

A relaxed Y4Cd3Au crystal (GGA-PBE, the Alexandria database).

Output
symmetry = No. 123
ρ = 7.2 g cm⁻³
E_form = -0.483 eV per atom
V = 204.72 Å³ per cell
raw total energy = -4.468 eV/atom

Geometry as POSCAR:
```
Y4Cd3Au
1.0
-3.516 1.060 0.504
-1.153 -2.819 -2.113
-0.887 -8.687 12.072
Y Au Cd
4 1 3
Direct
0.000 0.000 0.884 Y
0.000 0.000 0.116 Y
0.000 0.000 0.372 Y
0.000 0.000 0.628 Y
0.500 0.500 0.000 Au
0.500 0.500 0.247 Cd
0.500 0.500 0.500 Cd
0.500 0.500 0.753 Cd
```

---

No. 6
# YCdAu3

A relaxed YCdAu3 crystal (GGA-PBE, the Alexandria database).

Output
offset from the most stable computed form = 0.136 eV/atom
symmetry = No. 194
ρ = 11.6 g cm⁻³
E_form = -0.389 eV per atom
V = 226.29 Å³ per cell
raw total energy = -3.831 eV/atom

Geometry as POSCAR:
```
YCdAu3
1.0
-1.696 -4.524 -2.645
5.951 -0.209 -3.460
-0.601 -3.293 6.019
Y Cd Au
2 2 6
Direct
0.250 0.333 0.667 Y
0.750 0.667 0.333 Y
0.000 0.000 0.000 Cd
0.500 0.000 0.000 Cd
0.250 0.800 0.200 Au
0.750 0.200 0.800 Au
0.250 0.800 0.599 Au
0.750 0.200 0.401 Au
0.250 0.401 0.200 Au
0.750 0.599 0.800 Au
```

---

No. 7
# Y4CdAu

A relaxed Y4CdAu crystal (GGA-PBE, the Alexandria database).

Output
offset from the most stable computed form = 0.000 eV/atom
symmetry = No. 216
ρ = 6.6 g cm⁻³
E_form = -0.443 eV per atom
V = 668.73 Å³ per cell
raw total energy = -5.451 eV/atom

Geometry as POSCAR:
```
Y4CdAu
1.0
-9.527 -1.046 2.121
-2.836 -1.368 9.297
-4.776 7.124 4.773
Y Cd Au
16 4 4
Direct
0.391 0.391 0.391 Y
0.827 0.391 0.391 Y
0.391 0.827 0.391 Y
0.391 0.391 0.827 Y
0.561 0.561 0.939 Y
0.939 0.939 0.561 Y
0.561 0.939 0.561 Y
0.939 0.561 0.939 Y
0.939 0.561 0.561 Y
0.561 0.939 0.939 Y
0.184 0.184 0.816 Y
0.816 0.816 0.184 Y
0.184 0.816 0.184 Y
0.816 0.184 0.816 Y
0.816 0.184 0.184 Y
0.184 0.816 0.816 Y
0.167 0.167 0.167 Cd
0.499 0.167 0.167 Cd
0.167 0.499 0.167 Cd
0.167 0.167 0.499 Cd
0.603 0.603 0.603 Au
0.190 0.603 0.603 Au
0.603 0.190 0.603 Au
0.603 0.603 0.190 Au
```

---

No. 8
# Y2CdAu

A relaxed Y2CdAu crystal (GGA-PBE, the Alexandria database).

Output
symmetry = No. 12
ρ = 7.3 g cm⁻³
E_form = -0.398 eV per atom
V = 110.89 Å³ per cell
raw total energy = -4.679 eV/atom

Geometry as POSCAR:
```
Y2CdAu
1.0
-1.893 -3.313 -2.709
0.556 -4.645 -0.090
-5.368 -2.254 3.871
Au Cd Y
1 1 2
Direct
0.750 0.750 0.750 Au
0.250 0.250 0.250 Cd
0.009 0.009 0.976 Y
0.491 0.491 0.524 Y
```

---

No. 9
# Y2CdAu

A relaxed Y2CdAu crystal (GGA-PBE, the Alexandria database).

Output
symmetry = No. 99
ρ = 7.9 g cm⁻³
E_form = -0.434 eV per atom
V = 101.97 Å³ per cell
raw total energy = -4.714 eV/atom

Geometry as POSCAR:
```
Y2CdAu
1.0
3.844 0.000 0.000
0.000 3.844 0.000
0.000 0.000 6.899
Au Cd Y
1 1 2
Direct
0.000 0.000 0.497 Au
0.500 0.500 0.741 Cd
0.000 0.000 0.966 Y
0.500 0.500 0.296 Y
```

---

No. 10
# YCdAu2

A relaxed YCdAu2 crystal (GGA-PBE, the Alexandria database).

Output
symmetry = No. 119
ρ = 11.7 g cm⁻³
E_form = -0.542 eV per atom
V = 84.56 Å³ per cell
raw total energy = -4.026 eV/atom

Geometry as POSCAR:
```
YCdAu2
1.0
-0.383 1.657 -5.009
-3.517 -1.262 -3.744
-3.154 3.070 -0.730
Au Cd Y
2 1 1
Direct
0.000 0.000 0.000 Au
0.750 0.750 0.750 Au
0.500 0.500 0.500 Cd
0.250 0.250 0.250 Y
```

---

No. 11
# Y4CdAu2

A relaxed Y4CdAu2 crystal (GGA-PBE, the Alexandria database).

Output
offset from the most stable computed form = 0.000 eV/atom
symmetry = No. 166
ρ = 7.7 g cm⁻³
E_form = -0.528 eV per atom
V = 185.60 Å³ per cell
raw total energy = -5.288 eV/atom

Geometry as POSCAR:
```
Y4CdAu2
1.0
-1.136 -3.090 3.899
3.630 -1.362 3.318
-0.972 5.056 7.064
Y Cd Au
4 1 2
Direct
0.871 0.871 0.388 Y
0.129 0.129 0.612 Y
0.618 0.618 0.145 Y
0.382 0.382 0.855 Y
0.000 0.000 0.000 Cd
0.749 0.749 0.754 Au
0.251 0.251 0.246 Au
```

---

No. 12
# YCd2Au2

A relaxed YCd2Au2 crystal (GGA-PBE, the Alexandria database).

Output
offset from the most stable computed form = 0.012 eV/atom
symmetry = No. 11
ρ = 9.9 g cm⁻³
E_form = -0.460 eV per atom
V = 236.23 Å³ per cell
raw total energy = -3.430 eV/atom

Geometry as POSCAR:
```
YCd2Au2
1.0
-1.053 -2.732 3.872
-0.851 -3.804 -2.915
9.500 -3.156 0.356
Y Cd Au
2 4 4
Direct
0.750 0.227 0.677 Y
0.250 0.773 0.323 Y
0.750 0.283 0.008 Cd
0.250 0.739 0.678 Cd
0.250 0.717 0.992 Cd
0.750 0.261 0.322 Cd
0.250 0.254 0.490 Au
0.750 0.771 0.155 Au
0.250 0.229 0.845 Au
0.750 0.746 0.510 Au
```

---

No. 13
# YCdAu2

A relaxed YCdAu2 crystal (GGA-PBE, the Alexandria database).

Output
symmetry = No. 122
ρ = 9.9 g cm⁻³
E_form = -0.218 eV per atom
V = 199.53 Å³ per cell
raw total energy = -3.701 eV/atom

Geometry as POSCAR:
```
YCdAu2
1.0
4.605 0.000 0.000
0.000 4.605 0.000
2.302 2.302 9.411
Y Au Cd
2 4 2
Direct
0.500 0.500 0.000 Y
0.250 0.750 0.500 Y
0.668 0.125 0.250 Au
0.082 0.625 0.250 Au
0.375 0.332 0.750 Au
0.875 0.918 0.750 Au
0.000 0.000 0.000 Cd
0.750 0.250 0.500 Cd
```

---

No. 14
# YCd2Au2

A relaxed YCd2Au2 crystal (GGA-PBE, the Alexandria database).

Output
offset from the most stable computed form = 0.000 eV/atom
symmetry = No. 139
ρ = 10.4 g cm⁻³
E_form = -0.472 eV per atom
V = 113.11 Å³ per cell
raw total energy = -3.442 eV/atom

Geometry as POSCAR:
```
YCd2Au2
1.0
-3.298 -2.327 -0.628
2.183 -2.431 -2.452
1.141 -6.221 3.780
Y Au Cd
1 2 2
Direct
0.000 0.000 0.000 Y
0.400 0.400 0.199 Au
0.600 0.600 0.801 Au
0.750 0.250 0.500 Cd
0.250 0.750 0.500 Cd
```

---

No. 15
# Y2CdAu

A relaxed Y2CdAu crystal (GGA-PBE, the Alexandria database).

Output
symmetry = No. 119
ρ = 8.2 g cm⁻³
E_form = -0.401 eV per atom
V = 98.23 Å³ per cell
raw total energy = -4.681 eV/atom

Geometry as POSCAR:
```
Y2CdAu
1.0
-1.196 5.188 2.694
-5.477 2.258 -0.717
2.375 -5.255 1.534
Au Cd Y
1 1 2
Direct
0.500 0.500 0.000 Au
0.750 0.250 0.500 Cd
0.000 0.000 0.000 Y
0.250 0.750 0.500 Y
```

---

No. 16
# Y2CdAu

A relaxed Y2CdAu crystal (GGA-PBE, the Alexandria database).

Output
symmetry = No. 71
ρ = 6.8 g cm⁻³
E_form = -0.041 eV per atom
V = 119.45 Å³ per cell
raw total energy = -4.321 eV/atom

Geometry as POSCAR:
```
Y2CdAu
1.0
6.188 -3.603 -4.526
-3.424 6.289 4.526
-4.224 1.582 7.171
Y Cd Au
2 1 1
Direct
0.000 0.321 0.321 Y
0.000 0.679 0.679 Y
0.000 0.000 0.000 Cd
0.000 0.500 0.500 Au
```

---

No. 17
# Y2CdAu

A relaxed Y2CdAu crystal (GGA-PBE, the Alexandria database).

Output
symmetry = No. 44
ρ = 8.0 g cm⁻³
E_form = -0.470 eV per atom
V = 100.88 Å³ per cell
raw total energy = -4.751 eV/atom

Geometry as POSCAR:
```
Y2CdAu
1.0
-3.647 -5.109 0.604
-1.032 -5.336 3.199
-3.467 0.474 3.536
Au Cd Y
1 1 2
Direct
0.503 0.503 0.497 Au
0.216 0.216 0.283 Cd
0.000 0.000 0.000 Y
0.781 0.781 0.719 Y
```

---

No. 18
# YCd2Au2

A relaxed YCd2Au2 crystal (GGA-PBE, the Alexandria database).

Output
offset from the most stable computed form = 0.184 eV/atom
symmetry = No. 127
ρ = 10.9 g cm⁻³
E_form = -0.288 eV per atom
V = 214.65 Å³ per cell
raw total energy = -3.258 eV/atom

Geometry as POSCAR:
```
YCd2Au2
1.0
-2.954 -7.152 2.951
7.643 -3.187 -0.073
0.453 1.019 2.924
Y Au Cd
2 4 4
Direct
0.000 0.000 0.000 Y
0.500 0.500 0.000 Y
0.177 0.677 0.500 Au
0.677 0.823 0.500 Au
0.823 0.323 0.500 Au
0.323 0.177 0.500 Au
0.377 0.877 0.000 Cd
0.877 0.623 0.000 Cd
0.623 0.123 0.000 Cd
0.123 0.377 0.000 Cd
```

---

No. 19
# Y4CdAu

A relaxed Y4CdAu crystal (GGA-PBE, the Alexandria database).

Output
offset from the most stable computed form = 0.748 eV/atom
symmetry = No. 216
ρ = 6.5 g cm⁻³
E_form = 0.305 eV per atom
V = 170.28 Å³ per cell
raw total energy = -4.703 eV/atom

Geometry as POSCAR:
```
Y4CdAu
1.0
0.000 4.399 4.399
4.399 0.000 4.399
4.399 4.399 0.000
Y Cd Au
4 1 1
Direct
0.875 0.375 0.375 Y
0.375 0.375 0.875 Y
0.375 0.875 0.375 Y
0.375 0.375 0.375 Y
0.000 0.000 0.000 Cd
0.750 0.750 0.750 Au
```

---

No. 20
# YCdAu3

A relaxed YCdAu3 crystal (GGA-PBE, the Alexandria database).

Output
offset from the most stable computed form = 0.841 eV/atom
symmetry = No. 221
ρ = 7.9 g cm⁻³
E_form = 0.316 eV per atom
V = 167.41 Å³ per cell
raw total energy = -3.126 eV/atom

Geometry as POSCAR:
```
YCdAu3
1.0
-3.739 -3.366 2.250
-0.161 -2.937 -4.661
4.046 -3.228 1.894
Y Au Cd
1 3 1
Direct
0.000 0.000 0.000 Y
0.000 0.500 0.000 Au
0.000 0.000 0.500 Au
0.500 0.000 0.000 Au
0.500 0.500 0.500 Cd
```

---

No. 21
# Y3CdAu4

A relaxed Y3CdAu4 crystal (GGA-PBE, the Alexandria database).

Output
symmetry = No. 123
ρ = 10.8 g cm⁻³
E_form = -0.740 eV per atom
V = 360.28 Å³ per cell
raw total energy = -4.917 eV/atom

Geometry as POSCAR:
```
Y3CdAu4
1.0
5.007 0.000 0.000
0.000 7.181 0.000
0.000 0.000 10.020
Y Au Cd
6 8 2
Direct
0.000 0.000 0.000 Y
0.000 0.000 0.500 Y
0.500 0.000 0.750 Y
0.500 0.000 0.250 Y
0.500 0.500 0.750 Y
0.500 0.500 0.250 Y
0.500 0.754 0.000 Au
0.500 0.754 0.500 Au
0.500 0.246 0.000 Au
0.500 0.246 0.500 Au
0.000 0.754 0.750 Au
0.000 0.754 0.250 Au
0.000 0.246 0.250 Au
0.000 0.246 0.750 Au
0.000 0.500 0.000 Cd
0.000 0.500 0.500 Cd
```

---

No. 22
# Y5CdAu4

A relaxed Y5CdAu4 crystal (GGA-PBE, the Alexandria database).

Output
symmetry = No. 123
ρ = 9.3 g cm⁻³
E_form = -0.760 eV per atom
V = 240.12 Å³ per cell
raw total energy = -5.394 eV/atom

Geometry as POSCAR:
```
Y5CdAu4
1.0
-0.103 3.615 0.071
-2.881 -0.040 -2.188
-11.086 -0.603 14.610
Y Cd Au
5 1 4
Direct
0.500 0.500 0.108 Y
0.500 0.500 0.303 Y
0.500 0.500 0.500 Y
0.500 0.500 0.697 Y
0.500 0.500 0.892 Y
0.000 0.000 0.000 Cd
0.000 0.000 0.203 Au
0.000 0.000 0.402 Au
0.000 0.000 0.598 Au
0.000 0.000 0.797 Au
```

---

No. 23
# YZn2Cd2Au2

A relaxed YZn2Cd2Au2 crystal (GGA-PBE, the Alexandria database).

Output
symmetry = No. 166
ρ = 9.7 g cm⁻³
E_form = -0.404 eV per atom
V = 143.75 Å³ per cell
raw total energy = -2.889 eV/atom

Geometry as POSCAR:
```
YZn2Cd2Au2
1.0
4.576 0.000 0.000
2.288 3.963 0.000
2.288 1.321 7.927
Y Zn Cd Au
1 2 2 2
Direct
0.000 0.000 0.000 Y
0.597 0.597 0.208 Zn
0.403 0.403 0.792 Zn
0.135 0.135 0.594 Cd
0.865 0.865 0.406 Cd
0.739 0.739 0.783 Au
0.261 0.261 0.217 Au
```

---

No. 24
# Y2Zn3CdAu4

A relaxed Y2Zn3CdAu4 crystal (GGA-PBE, the Alexandria database).

Output
symmetry = No. 115
ρ = 10.3 g cm⁻³
E_form = -0.473 eV per atom
V = 205.27 Å³ per cell
raw total energy = -3.551 eV/atom

Geometry as POSCAR:
```
Y2Zn3CdAu4
1.0
4.132 0.000 0.000
0.000 4.132 0.000
0.000 0.000 12.021
Y Zn Cd Au
2 3 1 4
Direct
0.500 0.000 0.239 Y
0.000 0.500 0.761 Y
0.000 0.000 0.500 Zn
0.500 0.000 0.866 Zn
0.000 0.500 0.134 Zn
0.500 0.500 0.500 Cd
0.500 0.500 0.000 Au
0.000 0.000 0.000 Au
0.500 0.000 0.657 Au
0.000 0.500 0.343 Au
```

---

no.,magnetization (μB per cell)
1,0.8
2,0.0
3,0.0
4,0.0
5,0.0
6,0.0
7,0.0
8,0.0
9,1.3
10,0.0
11,0.0
12,0.0
13,0.0
14,0.0
15,0.0
16,0.0
17,0.0
18,0.0
19,0.0
20,0.0
21,0.0
22,0.0
23,0.0
24,0.0